No. 1
Material: Li2CeDy
Method: DFT, GGA-PBE
State: optimized geometry

Results
SG: No. 123
Total magnetization, μB per formula unit: 1.02
DFT formation energy, kcal/mol of atoms: 5.81

Lattice parameters (Å, degrees): 3.669 3.669 7.546 90.00 90.00 90.00
Last column: magnetic moment on the atom in μB.
Sites, in units of the cell vectors:
Li: 0.000 0.000 0.751  0.00
Li: 0.000 0.000 0.249  0.00
Ce: 0.500 0.500 0.500  0.89
Dy: 0.500 0.500 0.000  -0.05



No. 2
Material: Cs2AgPdI4
Method: DFT, GGA-PBE
State: optimized geometry

Results
SG: No. 70
Total magnetization, μB per formula unit: 1.02
Formation energy from raw total energies, eV per formula unit: -6.28

Lattice parameters (Å, degrees): 5.777 9.196 14.736 86.47 78.70 71.69
Last column: magnetic moment on the atom in μB.
Sites, in units of the cell vectors:
Cs: 0.173 0.000 0.653  0.00
Cs: 0.827 0.000 0.347  0.00
Cs: 0.577 0.500 0.847  0.00
Cs: 0.923 0.500 0.153  0.00
Ag: 0.250 0.500 0.500  0.02
Ag: 0.500 0.000 0.000  0.02
Pd: 0.750 0.500 0.500  0.52
Pd: 0.000 0.000 0.000  0.52
I: 0.261 0.797 0.119  0.07
I: 0.176 0.203 0.881  0.07
I: 0.943 0.797 0.881  0.07
I: 0.620 0.203 0.119  0.07
I: 0.489 0.703 0.381  0.07
I: 0.574 0.297 0.619  0.07
I: 0.807 0.703 0.619  0.07
I: 0.130 0.297 0.381  0.07



No. 3
Material: Pr2Sm6HoEr
Method: DFT, GGA-PBE
State: optimized geometry

Results
SG: No. 15
Total magnetization, μB per formula unit: 0.00
DFT formation energy, kcal/mol of atoms: 2.68

Lattice parameters (Å, degrees): 9.831 8.909 8.909 118.21 94.51 94.51
Sites, in units of the cell vectors:
Pr: 0.458 0.806 0.703
Pr: 0.042 0.297 0.194
Pr: 0.542 0.194 0.297
Pr: 0.958 0.703 0.806
Sm: 0.056 0.125 0.749
Sm: 0.444 0.251 0.875
Sm: 0.944 0.875 0.251
Sm: 0.556 0.749 0.125
Sm: 0.310 0.982 0.424
Sm: 0.190 0.576 0.018
Sm: 0.690 0.018 0.576
Sm: 0.810 0.424 0.982
Sm: 0.120 0.709 0.500
Sm: 0.380 0.500 0.291
Sm: 0.880 0.291 0.500
Sm: 0.620 0.500 0.709
Ho: 0.250 0.982 0.018
Ho: 0.750 0.018 0.982
Er: 0.250 0.407 0.593
Er: 0.750 0.593 0.407



- Which formula does entry 1 have?
  Li2CeDy



- What is the total magnetization in the third record?
  0.00 μB per formula unit



- Number 1 is which compound?
  Li2CeDy



- total magnetization of number 3 (Pr2Sm6HoEr)?
  0.00 μB per formula unit